Record 1
Compound: VMo2W6
Source: Alexandria
Functional: PBE
Structure: relaxed

Calculated values
- Crystal system: triclinic
- Formation energy: 466 meV per atom
- Space group: P-1, No. 2
- Calculated total energy: -0.4259 hartree per atom

Cell and atoms, written as CIF:
```
data_VMo2W6
_cell_length_a 4.517
_cell_length_b 5.468
_cell_length_c 6.664
_cell_angle_alpha 81.51
_cell_angle_beta 109.73
_cell_angle_gamma 89.98
_symmetry_space_group_name_H-M 'P 1'
_symmetry_Int_Tables_number 1
loop_
_symmetry_equiv_pos_as_xyz
'x,y,z'
loop_
_atom_site_label
_atom_site_fract_x
_atom_site_fract_y
_atom_site_fract_z
_atom_site_occupancy
W1 0.501 0.250 0.001 1
W2 0.705 0.344 0.410 1
W3 0.701 0.863 0.400 1
W4 0.499 0.750 0.999 1
W5 0.299 0.137 0.600 1
W6 0.295 0.656 0.590 1
Mo1 0.100 0.532 0.199 1
Mo2 0.900 0.468 0.801 1
V1 0.000 0.000 0.000 1
```

=====

Record 2
Compound: Tb3Sm2Ho6Tl
Source: Alexandria
Functional: PBE
Structure: relaxed

Calculated values
- Crystal system: monoclinic
- Formation energy: -25 meV per atom
- Space group: C2/m, No. 12
- Calculated total energy: -0.1637 hartree per atom

Cell and atoms, written as CIF:
```
data_Tb3Sm2Ho6Tl
_cell_length_a 6.089
_cell_length_b 6.089
_cell_length_c 11.689
_cell_angle_alpha 95.01
_cell_angle_beta 95.01
_cell_angle_gamma 120.04
_symmetry_space_group_name_H-M 'P 1'
_symmetry_Int_Tables_number 1
loop_
_symmetry_equiv_pos_as_xyz
'x,y,z'
loop_
_atom_site_label
_atom_site_fract_x
_atom_site_fract_y
_atom_site_fract_z
_atom_site_occupancy
Ho1 0.411 0.083 0.249 1
Ho2 0.083 0.411 0.249 1
Ho3 0.589 0.917 0.751 1
Ho4 0.754 0.754 0.250 1
Ho5 0.246 0.246 0.750 1
Ho6 0.917 0.589 0.751 1
Sm1 0.334 0.666 0.000 1
Sm2 0.666 0.334 0.000 1
Tb1 0.500 0.500 0.500 1
Tb2 0.833 0.167 0.500 1
Tb3 0.167 0.833 0.500 1
Tl1 0.000 0.000 0.000 1
```

=====

Record 3
Compound: Cs3Na
Source: Alexandria
Functional: PBE
Structure: relaxed

Calculated values
- Crystal system: orthorhombic
- Formation energy: 29 meV per atom
- Space group: Imm2, No. 44
- Calculated total energy: -0.0346 hartree per atom

Cell and atoms, written as CIF:
```
data_Cs3Na
_cell_length_a 5.566
_cell_length_b 8.090
_cell_length_c 9.572
_cell_angle_alpha 115.00
_cell_angle_beta 106.90
_cell_angle_gamma 90.00
_symmetry_space_group_name_H-M 'P 1'
_symmetry_Int_Tables_number 1
loop_
_symmetry_equiv_pos_as_xyz
'x,y,z'
loop_
_atom_site_label
_atom_site_fract_x
_atom_site_fract_y
_atom_site_fract_z
_atom_site_occupancy
Cs1 0.711 0.126 0.422 1
Cs2 0.289 0.704 0.578 1
Cs3 0.500 0.416 0.000 1
Na1 0.000 0.921 0.000 1
```